(1)
A relaxed Pm12Pr5Er2 crystal. Source: Alexandria, functional PBE.

Structure (POSCAR):
```
Pm12Pr5Er2
1.0
9.449 -3.632 0.000
9.449 3.632 0.000
-3.938 0.000 9.706
Pm Pr Er
12 5 2
direct
0.003 0.003 0.319
0.084 0.584 0.483
0.092 0.590 0.135
0.410 0.908 0.865
0.416 0.916 0.517
0.478 0.478 0.762
0.522 0.522 0.238
0.584 0.084 0.483
0.590 0.092 0.135
0.908 0.410 0.865
0.916 0.416 0.517
0.997 0.997 0.681
0.175 0.175 0.207
0.316 0.316 0.817
0.500 0.500 0.500
0.684 0.684 0.183
0.825 0.825 0.793
0.218 0.782 0.000
0.782 0.218 0.000
```

As for the space group: C2/m. The calculation puts the density at 6.93 g cm⁻³. The calculation puts the energy above the most stable polymorph in this dataset at 0.0710 eV/atom. The total moment comes out at 0.00 μB/cell. Its energy relative to the elements is 0.1681 eV/atom. The calculation puts the total energy at -86.84 eV per cell.


(2)
A relaxed Nd2Ho5Tm3 crystal. Source: Alexandria, functional PBE.

Structure (POSCAR):
```
Nd2Ho5Tm3
1.0
5.288 -7.934 0.000
5.288 7.934 0.000
-5.242 0.000 7.732
Nd Ho Tm
4 10 6
direct
0.014 0.267 0.046
0.267 0.014 0.546
0.733 0.986 0.454
0.986 0.733 0.954
0.153 0.386 0.782
0.232 0.768 0.750
0.274 0.726 0.250
0.386 0.153 0.282
0.471 0.529 0.250
0.529 0.471 0.750
0.614 0.847 0.718
0.726 0.274 0.750
0.768 0.232 0.250
0.847 0.614 0.218
0.024 0.976 0.750
0.222 0.462 0.451
0.462 0.222 0.951
0.538 0.778 0.049
0.778 0.538 0.549
0.976 0.024 0.250
```

As for the space group: C2/c. The calculation puts the density at 8.29 g cm⁻³. The calculation puts the energy above the most stable polymorph in this dataset at 0.1396 eV/atom. The total moment comes out at 0.00 μB/cell. Its energy relative to the elements is 0.1976 eV/atom. The calculation puts the total energy at -87.73 eV per cell.


(3)
A relaxed SrW2Cl crystal. Source: Alexandria, functional PBE.

Structure (POSCAR):
```
SrW2Cl
1.0
1.663 -2.354 0.000
1.663 2.354 0.000
0.000 0.000 9.928
Sr W Cl
1 2 1
direct
0.000 0.000 0.000
0.500 0.500 0.283
0.500 0.500 0.717
0.000 0.000 0.500
```

As for the space group: Cmmm. The calculation puts the density at 10.49 g cm⁻³. The value obtained for the formation energy from raw total energies is 1280 meV per atom. The calculation puts the energy above the most stable polymorph in this dataset at 1.1632 eV/atom. The total moment comes out at 0.00 μB/cell. The calculation puts the total energy at -24.31 eV per cell.


(4)
A relaxed Rh2O3 crystal. Source: Alexandria, functional PBE.

Structure (POSCAR):
```
Rh2O3
1.0
5.016 -2.048 0.000
5.016 2.048 0.000
-1.859 0.000 5.805
Rh O
4 6
direct
0.150 0.157 0.076
0.157 0.150 0.576
0.843 0.850 0.424
0.850 0.843 0.924
0.067 0.933 0.750
0.292 0.301 0.398
0.301 0.292 0.898
0.699 0.708 0.102
0.708 0.699 0.602
0.933 0.067 0.250
```

As for the space group: C2/c. The calculation puts the density at 7.07 g cm⁻³. The value obtained for the formation energy from raw total energies is -461 meV per atom. The total moment comes out at 0.00 μB/cell. The calculation puts the total energy at -63.77 eV per cell.


(5)
A relaxed Ti2CrTeRh crystal. Source: Alexandria, functional PBE.

Structure (POSCAR):
```
Ti2CrTeRh
1.0
4.667 0.000 0.000
0.000 4.667 0.000
0.000 0.000 4.941
Ti Cr Te Rh
2 1 1 1
direct
0.000 0.500 0.000
0.500 0.000 0.000
0.000 0.000 0.500
0.500 0.500 0.500
0.000 0.000 0.000
```

As for the space group: P4/mmm. The calculation puts the density at 5.84 g cm⁻³. The value obtained for the formation energy from raw total energies is 336 meV per atom. The total moment comes out at 3.28 μB/cell. The calculation puts the total energy at -34.23 eV per cell.


(6)
A relaxed HoAgHgPb crystal. Source: Alexandria, functional PBE.

Structure (POSCAR):
```
HoAgHgPb
1.0
0.000 3.640 3.640
3.640 0.000 3.640
3.640 3.640 0.000
Ho Ag Hg Pb
1 1 1 1
direct
0.000 0.000 0.000
0.500 0.500 0.500
0.250 0.250 0.250
0.750 0.750 0.750
```

As for the space group: F-43m. The calculation puts the density at 11.71 g cm⁻³. The total moment comes out at 0.00 μB/cell. Its energy relative to the elements is -0.2518 eV/atom. The calculation puts the total energy at -12.45 eV per cell.


(7)
A relaxed KP2Au5S8 crystal. Source: Alexandria, functional PBE.

Structure (POSCAR):
```
KP2Au5S8
1.0
10.105 0.000 0.000
0.000 14.480 0.000
-3.446 0.000 12.000
K P Au S
4 8 20 32
direct
0.203 0.229 0.313
0.203 0.271 0.813
0.797 0.729 0.187
0.797 0.771 0.687
0.090 0.567 0.797
0.090 0.933 0.297
0.439 0.181 0.103
0.439 0.319 0.603
0.561 0.681 0.397
0.561 0.819 0.897
0.910 0.067 0.703
0.910 0.433 0.203
0.060 0.591 0.075
0.060 0.909 0.575
0.255 0.748 0.213
0.255 0.752 0.713
0.264 0.740 0.970
0.264 0.760 0.470
0.380 0.541 0.548
0.380 0.959 0.048
0.443 0.599 0.872
0.443 0.901 0.372
0.557 0.099 0.628
0.557 0.401 0.128
0.620 0.041 0.952
0.620 0.459 0.452
0.736 0.240 0.530
0.736 0.260 0.030
0.745 0.248 0.287
0.745 0.252 0.787
0.940 0.091 0.425
0.940 0.409 0.925
0.048 0.669 0.910
0.048 0.831 0.410
0.075 0.521 0.246
0.075 0.979 0.746
0.081 0.639 0.654
0.081 0.861 0.154
0.266 0.004 0.372
0.266 0.496 0.872
0.269 0.098 0.058
0.269 0.402 0.558
0.360 0.189 0.610
0.360 0.311 0.110
0.424 0.632 0.256
0.424 0.868 0.756
0.476 0.685 0.539
0.476 0.815 0.039
0.524 0.185 0.961
0.524 0.315 0.461
0.576 0.132 0.244
0.576 0.368 0.744
0.640 0.689 0.890
0.640 0.811 0.390
0.731 0.598 0.442
0.731 0.902 0.942
0.734 0.504 0.128
0.734 0.996 0.628
0.919 0.139 0.846
0.919 0.361 0.346
0.925 0.021 0.254
0.925 0.479 0.754
0.952 0.169 0.590
0.952 0.331 0.090
```

As for the space group: P2_1/c. The calculation puts the density at 5.08 g cm⁻³. The value obtained for the formation energy from raw total energies is -314 meV per atom. The total moment comes out at 0.00 μB/cell. The calculation puts the total energy at -265.36 eV per cell.


(8)
A relaxed Pa3ReSi2 crystal. Source: Alexandria, functional PBE.

Structure (POSCAR):
```
Pa3ReSi2
1.0
11.903 0.000 0.000
0.000 4.191 0.000
0.000 0.000 10.046
Pa Re Si
12 4 8
direct
0.044 0.250 0.090
0.131 0.750 0.570
0.233 0.250 0.770
0.267 0.750 0.270
0.369 0.250 0.070
0.456 0.750 0.590
0.544 0.250 0.410
0.631 0.750 0.930
0.733 0.250 0.730
0.767 0.750 0.230
0.869 0.250 0.430
0.956 0.750 0.910
0.117 0.250 0.357
0.383 0.750 0.857
0.617 0.250 0.143
0.883 0.750 0.643
0.009 0.750 0.297
0.199 0.750 0.985
0.301 0.250 0.485
0.491 0.250 0.797
0.509 0.750 0.203
0.699 0.750 0.515
0.801 0.250 0.015
0.991 0.250 0.703
```

As for the space group: Pnma. The calculation puts the density at 12.40 g cm⁻³. The value obtained for the formation energy from raw total energies is -411 meV per atom. The calculation puts the energy above the most stable polymorph in this dataset at 0.0000 eV/atom. The total moment comes out at 0.00 μB/cell. The calculation puts the total energy at -216.99 eV per cell.


(9)
A relaxed BaTlIr2 crystal. Source: Alexandria, functional PBE.

Structure (POSCAR):
```
BaTlIr2
1.0
-2.352 2.352 4.006
2.352 -2.352 4.006
2.352 2.352 -4.006
Ba Tl Ir
1 1 2
direct
0.000 0.000 0.000
0.500 0.500 0.000
0.250 0.750 0.500
0.750 0.250 0.500
```

As for the space group: I4/mmm. The calculation puts the density at 13.61 g cm⁻³. The total moment comes out at 0.00 μB/cell. Its energy relative to the elements is 0.6548 eV/atom. The calculation puts the total energy at -19.39 eV per cell.


(10)
A relaxed TbInGaPt crystal. Source: Alexandria, functional PBE.

Structure (POSCAR):
```
TbInGaPt
1.0
0.000 3.447 3.447
3.447 0.000 3.447
3.447 3.447 0.000
Tb In Ga Pt
1 1 1 1
direct
0.000 0.000 0.000
0.500 0.500 0.500
0.250 0.250 0.250
0.750 0.750 0.750
```

As for the space group: F-43m. The calculation puts the density at 10.91 g cm⁻³. The total moment comes out at 0.00 μB/cell. Its energy relative to the elements is -0.6684 eV/atom. The calculation puts the total energy at -19.11 eV per cell.


(11)
A relaxed PmGdY2 crystal. Source: Alexandria, functional PBE.

Structure (POSCAR):
```
PmGdY2
1.0
3.602 0.000 0.000
0.000 3.602 0.000
0.000 0.000 10.149
Pm Gd Y
1 1 2
direct
0.000 0.000 0.000
0.000 0.000 0.500
0.500 0.500 0.251
0.500 0.500 0.749
```

As for the space group: P4/mmm. The calculation puts the density at 6.05 g cm⁻³. The calculation puts the energy above the most stable polymorph in this dataset at 0.0062 eV/atom. The total moment comes out at 7.26 μB/cell. Its energy relative to the elements is 0.0245 eV/atom. The calculation puts the total energy at -31.66 eV per cell.


(12)
A relaxed LiB2H crystal. Source: Alexandria, functional PBE.

Structure (POSCAR):
```
LiB2H
1.0
3.137 0.000 0.000
-1.567 2.719 0.000
-0.040 -0.153 7.776
Li B H
2 4 2
direct
0.000 0.000 0.000
0.334 0.677 0.314
0.278 0.256 0.697
0.645 0.332 0.501
0.903 0.633 0.698
0.985 0.992 0.500
0.235 0.588 0.782
0.339 0.678 0.080
```

As for the space group: P1. The calculation puts the density at 1.48 g cm⁻³. The calculation puts the energy above the most stable polymorph in this dataset at 0.1335 eV/atom. The total moment comes out at 0.00 μB/cell. The calculation puts the total energy at -37.68 eV per cell.


(13)
A relaxed Ba4LaZr3O12 crystal. Source: Alexandria, functional PBE.

Structure (POSCAR):
```
Ba4LaZr3O12
1.0
-4.350 4.350 4.350
4.350 -4.350 4.350
4.350 4.350 -4.350
Ba La Zr O
4 1 3 12
direct
0.000 0.000 0.500
0.000 0.500 0.000
0.500 0.000 0.000
0.500 0.500 0.500
0.000 0.000 0.000
0.000 0.500 0.500
0.500 0.000 0.500
0.500 0.500 0.000
0.000 0.264 0.264
0.000 0.736 0.736
0.250 0.500 0.750
0.250 0.750 0.500
0.264 0.000 0.264
0.264 0.264 0.000
0.500 0.250 0.750
0.500 0.750 0.250
0.736 0.000 0.736
0.736 0.736 0.000
0.750 0.250 0.500
0.750 0.500 0.250
```

As for the space group: Im-3m. The calculation puts the density at 5.82 g cm⁻³. The value obtained for the formation energy from raw total energies is -3034 meV per atom. The total moment comes out at 0.00 μB/cell. The calculation puts the total energy at -158.44 eV per cell.


(14)
A relaxed YSc11 crystal. Source: Alexandria, functional PBE.

Structure (POSCAR):
```
YSc11
1.0
10.352 0.000 0.000
-5.176 8.965 0.000
0.000 0.000 3.247
Y Sc
1 11
direct
0.000 0.000 0.000
0.000 0.500 0.000
0.179 0.357 0.500
0.179 0.821 0.500
0.333 0.667 0.000
0.357 0.179 0.500
0.500 0.000 0.000
0.500 0.500 0.000
0.643 0.821 0.500
0.667 0.333 0.000
0.821 0.179 0.500
0.821 0.643 0.500
```

As for the space group: P6/mmm. The calculation puts the density at 3.21 g cm⁻³. The total moment comes out at 0.00 μB/cell. Its energy relative to the elements is 0.0408 eV/atom. The calculation puts the total energy at -75.62 eV per cell.


(15)
A relaxed NbPSeS2 crystal. Source: Alexandria, functional PBE.

Structure (POSCAR):
```
NbPSeS2
1.0
4.635 0.000 0.000
0.000 4.635 0.000
0.000 0.000 4.703
Nb P Se S
1 1 1 2
direct
0.000 0.000 0.000
0.500 0.500 0.000
0.500 0.500 0.500
0.000 0.500 0.500
0.500 0.000 0.500
```

As for the space group: P4/mmm. The calculation puts the density at 4.39 g cm⁻³. The value obtained for the formation energy from raw total energies is 928 meV per atom. The calculation puts the energy above the most stable polymorph in this dataset at 0.6783 eV/atom. The total moment comes out at 1.60 μB/cell. The calculation puts the total energy at -22.58 eV per cell.


(16)
A relaxed TiOs2Pt2 crystal. Source: Alexandria, functional PBE.

Structure (POSCAR):
```
TiOs2Pt2
1.0
6.642 0.000 0.000
0.000 6.642 0.000
0.000 0.000 3.664
Ti Os Pt
2 4 4
direct
0.000 0.000 0.000
0.500 0.500 0.000
0.148 0.352 0.500
0.352 0.852 0.500
0.648 0.148 0.500
0.852 0.648 0.500
0.142 0.642 0.000
0.358 0.142 0.000
0.642 0.858 0.000
0.858 0.358 0.000
```

As for the space group: P4/mbm. The calculation puts the density at 16.81 g cm⁻³. The calculation puts the energy above the most stable polymorph in this dataset at 0.0829 eV/atom. The total moment comes out at 0.00 μB/cell. Its energy relative to the elements is 0.1739 eV/atom. The calculation puts the total energy at -83.13 eV per cell.


(17)
A relaxed LiCu2As crystal. Source: Alexandria, functional PBE.

Structure (POSCAR):
```
LiCu2As
1.0
1.463 -9.566 0.000
1.463 9.566 0.000
0.000 0.000 4.134
Li Cu As
2 4 2
direct
0.096 0.904 0.750
0.904 0.096 0.250
0.271 0.729 0.250
0.468 0.532 0.750
0.532 0.468 0.250
0.729 0.271 0.750
0.342 0.658 0.750
0.658 0.342 0.250
```

As for the space group: Cmcm. The calculation puts the density at 6.00 g cm⁻³. The total moment comes out at 0.00 μB/cell. Its energy relative to the elements is -0.1304 eV/atom. The calculation puts the total energy at -30.55 eV per cell.


(18)
A relaxed Pa2VGa8 crystal. Source: Alexandria, functional PBE.

Structure (POSCAR):
```
Pa2VGa8
1.0
4.339 0.000 0.000
0.000 4.339 0.000
0.000 0.000 11.307
Pa V Ga
2 1 8
direct
0.000 0.000 0.192
0.000 0.000 0.808
0.000 0.000 0.500
0.000 0.500 0.000
0.000 0.500 0.377
0.000 0.500 0.623
0.500 0.000 0.000
0.500 0.000 0.377
0.500 0.000 0.623
0.500 0.500 0.187
0.500 0.500 0.813
```

As for the space group: P4/mmm. The calculation puts the density at 8.35 g cm⁻³. The total moment comes out at 1.93 μB/cell. Its energy relative to the elements is -0.2848 eV/atom. The calculation puts the total energy at -55.46 eV per cell.


(19)
A relaxed HgBi3Pb3 crystal. Source: Alexandria, functional PBE.

Structure (POSCAR):
```
HgBi3Pb3
1.0
5.035 -4.870 0.000
5.035 4.870 0.000
-0.004 0.000 9.493
Hg Bi Pb
2 6 6
direct
0.236 0.236 0.498
0.764 0.764 0.502
0.234 0.234 0.001
0.234 0.766 0.000
0.234 0.766 0.500
0.766 0.234 0.000
0.766 0.234 0.500
0.766 0.766 0.999
0.002 0.498 0.744
0.498 0.002 0.744
0.499 0.499 0.263
0.501 0.501 0.737
0.502 0.998 0.256
0.998 0.502 0.256
```

As for the space group: C2/m. The calculation puts the density at 10.34 g cm⁻³. The calculation puts the energy above the most stable polymorph in this dataset at 0.0000 eV/atom. The total moment comes out at 0.00 μB/cell. Its energy relative to the elements is 0.0483 eV/atom. The calculation puts the total energy at -45.46 eV per cell.